The following is a DFT calculation (PBE with a Hubbard U) of a relaxed structure of K3CoO2. Values from VASP.

Values from the calculation:
- crystal system = monoclinic
- VASP energy (eV/atom) = -4.131
- theoretical density (g/cm3) = 2.6

Quantum ESPRESSO input file:
```
&SYSTEM
  ibrav = 0, nat = 24, ntyp = 3
/
ATOMIC_SPECIES
K 39.10 K.upf
Co 58.93 Co.upf
O 16.00 O.upf
CELL_PARAMETERS angstrom
-1.236 -6.350 -0.255
5.324 -1.349 7.784
-6.322 4.171 5.047
ATOMIC_POSITIONS crystal
K 0.259 0.965 0.003
K 0.241 0.465 0.497
K 0.741 0.035 0.997
K 0.759 0.535 0.503
K 0.366 0.531 0.126
K 0.134 0.031 0.374
K 0.634 0.469 0.874
K 0.866 0.969 0.626
K 0.930 0.709 0.188
K 0.570 0.209 0.312
K 0.070 0.291 0.812
K 0.430 0.791 0.688
Co 0.535 0.822 0.327
Co 0.965 0.322 0.173
Co 0.465 0.178 0.673
Co 0.035 0.678 0.827
O 0.708 0.942 0.274
O 0.792 0.442 0.226
O 0.292 0.058 0.726
O 0.208 0.558 0.774
O 0.373 0.696 0.383
O 0.127 0.196 0.117
O 0.627 0.304 0.617
O 0.873 0.804 0.883
```